1.
VASP calculation (PBE) on an optimized crystal structure of Ba3ReCl2O5.

Output
Calculated total energy   -6.623 eV/atom
Magnetic moment   3.989 μB/cell

Unit cell a=5.797 b=13.954 c=11.464 alpha=90.00 beta=90.00 gamma=90.00
Space group Cmcm (No. 63)
Symmetry-distinct sites (fractional):
Ba: 0.000 0.096 0.250 [4 per cell]
Ba: 0.000 0.349 0.044 [8 per cell]
Re: 0.000 0.238 0.750 [4 per cell]
Cl: 0.000 0.000 0.000 [4 per cell]
Cl: 0.000 0.494 0.750 [4 per cell]
O: 0.000 0.113 0.750 [4 per cell]
O: 0.224 0.279 0.636 [16 per cell]

***

2.
VASP calculation (PBE) on an optimized crystal structure of GdTlNO.

Output
Offset from the most stable computed form   0 meV/atom
Calculated total energy   -6.184 eV/atom
Magnetic moment   0.000 μB/cell

Unit cell a=5.110 b=5.110 c=4.786 alpha=90.00 beta=90.00 gamma=90.00
Space group P4/nmm (No. 129, origin choice 2)
Symmetry-distinct sites (fractional):
Gd: 0.250 0.750 0.000 [2 per cell]
Tl: 0.250 0.250 0.499 [2 per cell]
N: 0.250 0.250 0.000 [2 per cell]
O: 0.250 0.750 0.500 [2 per cell]

***

3.
VASP calculation (PBE) on an optimized crystal structure of CuB2Sb.

Output
Calculated total energy   -3.693 eV/atom

Unit cell a=6.034 b=6.034 c=6.034 alpha=90.00 beta=90.00 gamma=90.00
Space group F-43m (No. 216)
Symmetry-distinct sites (fractional):
Cu: 0.000 0.000 0.000 [4 per cell]
B: 0.000 0.000 0.500 [4 per cell]
B: 0.250 0.250 0.750 [4 per cell]
Sb: 0.250 0.250 0.250 [4 per cell]

***

4.
VASP calculation (PBE) on an optimized crystal structure of SrTePtO.

Output
Offset from the most stable computed form   101 meV/atom
Calculated total energy   -5.188 eV/atom
Magnetic moment   0.007 μB/cell

Unit cell a=7.021 b=8.266 c=6.342 alpha=90.00 beta=90.00 gamma=90.00
Space group Pca2_1 (No. 29)
Symmetry-distinct sites (fractional):
Sr: 0.076 0.137 0.000 [4 per cell]
Te: 0.166 0.540 0.698 [4 per cell]
Pt: 0.066 0.717 0.022 [4 per cell]
O: 0.100 0.092 0.623 [4 per cell]

***

5.
VASP calculation (PBE) on an optimized crystal structure of TaFePdPb.

Output
Offset from the most stable computed form   0 meV/atom
Calculated total energy   -7.042 eV/atom
Magnetic moment   6.243 μB/cell

Unit cell a=6.472 b=6.472 c=6.472 alpha=90.00 beta=90.00 gamma=90.00
Space group F-43m (No. 216)
Symmetry-distinct sites (fractional):
Ta: 0.000 0.000 0.000 [4 per cell]
Fe: 0.250 0.250 0.750 [4 per cell]
Pd: 0.250 0.250 0.250 [4 per cell]
Pb: 0.000 0.000 0.500 [4 per cell]

***

6.
VASP calculation (PBE) on an optimized crystal structure of LiAc3Ir2.

Output
Calculated total energy   -5.807 eV/atom
Magnetic moment   0.006 μB/cell

Unit cell a=7.086 b=13.615 c=7.659 alpha=90.00 beta=90.00 gamma=90.00
Space group Ibam (No. 72)
Symmetry-distinct sites (fractional):
Li: 0.000 0.000 0.000 [4 per cell]
Ac: 0.000 0.215 0.250 [8 per cell]
Ac: 0.000 0.500 0.250 [4 per cell]
Ir: 0.209 0.361 0.000 [8 per cell]

***

7.
VASP calculation (PBE) on an optimized crystal structure of Tb2Os2O5.

Output
Offset from the most stable computed form   0 meV/atom
Calculated total energy   -7.924 eV/atom
Magnetic moment   0.306 μB/cell

Unit cell a=3.934 b=3.934 c=6.929 alpha=90.00 beta=90.00 gamma=90.00
Space group P4/mmm (No. 123)
Symmetry-distinct sites (fractional):
Tb: 0.000 0.000 0.000 [1 per cell]
Tb: 0.000 0.000 0.500 [1 per cell]
Os: 0.500 0.500 0.188 [2 per cell]
O: 0.000 0.500 0.240 [4 per cell]
O: 0.500 0.500 0.500 [1 per cell]

***

8.
VASP calculation (PBE) on an optimized crystal structure of SrZnNiS3.

Output
Offset from the most stable computed form   0 meV/atom
Calculated total energy   -4.341 eV/atom
Magnetic moment   7.986 μB/cell

Unit cell a=3.814 b=12.988 c=9.338 alpha=90.00 beta=90.00 gamma=90.00
Space group Cmcm (No. 63)
Symmetry-distinct sites (fractional):
Sr: 0.000 0.244 0.250 [4 per cell]
Zn: 0.000 0.475 0.750 [4 per cell]
Ni: 0.000 0.000 0.000 [4 per cell]
S: 0.000 0.077 0.750 [4 per cell]
S: 0.000 0.373 0.548 [8 per cell]

***

9.
VASP calculation (PBE) on an optimized crystal structure of NaHoCoTe3.

Output
Offset from the most stable computed form   0 meV/atom
Calculated total energy   -4.489 eV/atom
Magnetic moment   9.490 μB/cell

Unit cell a=4.126 b=14.984 c=11.097 alpha=90.00 beta=90.00 gamma=90.00
Space group Cmcm (No. 63)
Symmetry-distinct sites (fractional):
Na: 0.000 0.243 0.250 [4 per cell]
Ho: 0.000 0.000 0.000 [4 per cell]
Co: 0.000 0.477 0.750 [4 per cell]
Te: 0.000 0.084 0.750 [4 per cell]
Te: 0.000 0.363 0.576 [8 per cell]

***

10.
VASP calculation (PBE) on an optimized crystal structure of MgCoAgGe.

Output
Offset from the most stable computed form   0 meV/atom
Calculated total energy   -3.951 eV/atom
Magnetic moment   3.367 μB/cell

Unit cell a=6.235 b=6.235 c=6.235 alpha=90.00 beta=90.00 gamma=90.00
Space group F-43m (No. 216)
Symmetry-distinct sites (fractional):
Mg: 0.000 0.000 0.000 [4 per cell]
Co: 0.250 0.250 0.750 [4 per cell]
Ag: 0.250 0.250 0.250 [4 per cell]
Ge: 0.000 0.000 0.500 [4 per cell]

***

11.
VASP calculation (PBE) on an optimized crystal structure of ZrInAuSe2S.

Output
Calculated total energy   -4.998 eV/atom
Magnetic moment   0.020 μB/cell

Unit cell a=3.895 b=14.306 c=10.136 alpha=90.00 beta=90.00 gamma=90.00
Space group Cmcm (No. 63)
Symmetry-distinct sites (fractional):
Zr: 0.000 0.000 0.000 [4 per cell]
In: 0.000 0.256 0.250 [4 per cell]
Au: 0.000 0.455 0.750 [4 per cell]
Se: 0.000 0.364 0.532 [8 per cell]
S: 0.000 0.069 0.750 [4 per cell]

***

12.
VASP calculation (PBE) on an optimized crystal structure of YHfCoB.

Output
Offset from the most stable computed form   0 meV/atom
Calculated total energy   -6.937 eV/atom
Magnetic moment   2.500 μB/cell

Unit cell a=6.255 b=6.255 c=6.255 alpha=90.00 beta=90.00 gamma=90.00
Space group F-43m (No. 216)
Symmetry-distinct sites (fractional):
Y: 0.000 0.000 0.000 [4 per cell]
Hf: 0.250 0.250 0.750 [4 per cell]
Co: 0.000 0.000 0.500 [4 per cell]
B: 0.250 0.250 0.250 [4 per cell]

***

13.
VASP calculation (PBE) on an optimized crystal structure of Ho2ErTm3As2Os.

Output
Calculated total energy   -6.066 eV/atom
Magnetic moment   0.065 μB/cell

Unit cell a=4.135 b=13.506 c=7.793 alpha=90.00 beta=90.00 gamma=90.00
Space group Amm2 (No. 38)
Symmetry-distinct sites (fractional):
Ho: 0.000 0.201 0.000 [4 per cell]
Er: 0.000 0.000 0.396 [2 per cell]
Tm: 0.500 0.000 0.042 [2 per cell]
Tm: 0.500 0.123 0.676 [4 per cell]
As: 0.500 0.166 0.298 [4 per cell]
Os: 0.000 0.000 0.796 [2 per cell]

***

14.
VASP calculation (PBE) on an optimized crystal structure of Zr4CoP2Pd.

Output
Calculated total energy   -8.109 eV/atom
Magnetic moment   0.001 μB/cell

Unit cell a=5.318 b=3.706 c=7.571 alpha=90.00 beta=110.26 gamma=90.00
Space group Pm (No. 6)
Symmetry-distinct sites (fractional):
Zr: 0.000 0.000 0.000 [1 per cell]
Zr: 0.056 0.500 0.621 [1 per cell]
Zr: 0.492 0.000 0.476 [1 per cell]
Zr: 0.560 0.500 0.144 [1 per cell]
Co: 0.129 0.500 0.263 [1 per cell]
P: 0.656 0.500 0.760 [1 per cell]
P: 0.923 0.000 0.347 [1 per cell]
Pd: 0.417 0.000 0.851 [1 per cell]

***

15.
VASP calculation (PBE) on an optimized crystal structure of Tb2Pt2O5.

Output
Offset from the most stable computed form   0 meV/atom
Calculated total energy   -6.697 eV/atom
Magnetic moment   0.004 μB/cell

Unit cell a=4.049 b=4.049 c=6.924 alpha=90.00 beta=90.00 gamma=90.00
Space group P4/mmm (No. 123)
Symmetry-distinct sites (fractional):
Tb: 0.000 0.000 0.000 [1 per cell]
Tb: 0.000 0.000 0.500 [1 per cell]
Pt: 0.500 0.500 0.191 [2 per cell]
O: 0.000 0.500 0.237 [4 per cell]
O: 0.500 0.500 0.500 [1 per cell]

***

16.
VASP calculation (PBE) on an optimized crystal structure of NaLiMo.

Output
Offset from the most stable computed form   0 meV/atom
Calculated total energy   -3.152 eV/atom
Magnetic moment   17.208 μB/cell

Unit cell a=6.675 b=6.675 c=6.675 alpha=90.00 beta=90.00 gamma=90.00
Space group F-43m (No. 216)
Symmetry-distinct sites (fractional):
Na: 0.000 0.000 0.000 [4 per cell]
Li: 0.250 0.250 0.750 [4 per cell]
Mo: 0.000 0.000 0.500 [4 per cell]

***

17.
VASP calculation (PBE) on an optimized crystal structure of LiHfCuAs.

Output
Offset from the most stable computed form   0 meV/atom
Calculated total energy   -5.051 eV/atom
Magnetic moment   1.790 μB/cell

Unit cell a=6.311 b=6.311 c=6.311 alpha=90.00 beta=90.00 gamma=90.00
Space group F-43m (No. 216)
Symmetry-distinct sites (fractional):
Li: 0.000 0.000 0.000 [4 per cell]
Hf: 0.250 0.250 0.250 [4 per cell]
Cu: 0.250 0.250 0.750 [4 per cell]
As: 0.000 0.000 0.500 [4 per cell]

***

18.
VASP calculation (PBE) on an optimized crystal structure of Zn2As.

Output
Offset from the most stable computed form   92 meV/atom
Calculated total energy   -2.235 eV/atom

Unit cell a=7.950 b=5.124 c=5.100 alpha=90.00 beta=90.00 gamma=90.00
Space group Cmcm (No. 63)
Symmetry-distinct sites (fractional):
Zn: 0.162 0.243 0.250 [8 per cell]
As: 0.000 0.254 0.750 [4 per cell]

***

19.
VASP calculation (PBE) on an optimized crystal structure of YEr2Mg3CdGa2.

Output
Calculated total energy   -3.457 eV/atom
Magnetic moment   0.000 μB/cell

Unit cell a=4.446 b=12.740 c=7.326 alpha=90.00 beta=90.00 gamma=90.00
Space group Amm2 (No. 38)
Symmetry-distinct sites (fractional):
Y: 0.000 0.000 0.000 [2 per cell]
Er: 0.000 0.216 0.648 [4 per cell]
Mg: 0.500 0.000 0.682 [2 per cell]
Mg: 0.500 0.125 0.308 [4 per cell]
Cd: 0.000 0.000 0.434 [2 per cell]
Ga: 0.500 0.168 0.932 [4 per cell]

***

20.
VASP calculation (PBE) on an optimized crystal structure of Cs2Gd2O5.

Output
Calculated total energy   -4.448 eV/atom
Magnetic moment   0.002 μB/cell

Unit cell a=4.641 b=4.641 c=7.416 alpha=90.00 beta=90.00 gamma=90.00
Space group P4/mmm (No. 123)
Symmetry-distinct sites (fractional):
Cs: 0.000 0.000 0.197 [2 per cell]
Gd: 0.500 0.500 0.000 [1 per cell]
Gd: 0.500 0.500 0.500 [1 per cell]
O: 0.000 0.000 0.500 [1 per cell]
O: 0.000 0.500 0.252 [4 per cell]